ReTe3C | meta-GGA SCAN | PBEsol geometry

space group	No. 221
electronic total energy	-184.41	eV per cell

```
5
Lattice="4.5395 0.0000 0.0000 0.0000 4.5395 0.0000 0.0000 0.0000 4.5395" Properties=species:S:1:pos:R:3 pbc="T T T"
Re 0.0000 0.0000 0.0000
Te 0.0000 2.2698 2.2698
Te 2.2698 0.0000 2.2698
Te 2.2698 2.2698 0.0000
C 2.2698 2.2698 2.2698
```

***

TlRe3C | meta-GGA SCAN | PBEsol geometry

space group	No. 221
distance to the lowest polymorph of the same formula	4.042	eV/atom

```
5
Lattice="4.8889 0.0000 0.0000 0.0000 4.8889 0.0000 0.0000 0.0000 4.8889" Properties=species:S:1:pos:R:3 pbc="T T T"
Tl 0.0000 0.0000 0.0000
Re 0.0000 0.0000 2.4444
Re 0.0000 2.4444 0.0000
Re 2.4444 0.0000 0.0000
C 2.4444 2.4444 2.4444
```

***

Tl2ReC | meta-GGA SCAN | PBEsol geometry

space group	No. 225
electronic total energy	-216.56	eV per cell

```
4
Lattice="0.0000 3.2791 3.2791 3.2791 0.0000 3.2791 3.2791 3.2791 0.0000" Properties=species:S:1:pos:R:3 pbc="T T T"
Tl 1.6396 1.6396 1.6396
Tl 4.9187 4.9187 4.9187
Re 0.0000 0.0000 0.0000
C 3.2791 3.2791 3.2791
```

***

TlRe3C | meta-GGA SCAN | PBEsol geometry

space group	No. 221
distance to the lowest polymorph of the same formula	0.000	eV/atom

```
5
Lattice="4.1422 0.0000 0.0000 0.0000 4.1422 0.0000 0.0000 0.0000 4.1422" Properties=species:S:1:pos:R:3 pbc="T T T"
Tl 0.0000 0.0000 0.0000
Re 0.0000 2.0711 2.0711
Re 2.0711 0.0000 2.0711
Re 2.0711 2.0711 0.0000
C 2.0711 2.0711 2.0711
```

***

Tm5Re2C7 | meta-GGA SCAN | PBEsol geometry

space group	No. 65
electronic total energy	-479.52	eV per cell

```
14
Lattice="3.9405 -7.1160 0.0000 3.9405 7.1160 0.0000 0.0000 0.0000 3.3275" Properties=species:S:1:pos:R:3 pbc="T T T"
Tm 0.0000 0.0000 0.0000
Tm 2.3185 1.8365 1.6638
Tm 2.3185 -1.8365 1.6638
Tm 5.5624 1.8365 1.6638
Tm 5.5624 -1.8365 1.6638
Re 3.9405 4.0520 0.0000
Re 3.9405 -4.0520 0.0000
C 1.9702 3.5580 0.0000
C 3.9405 5.3486 1.6638
C 2.5816 0.0000 0.0000
C 1.9702 -3.5580 0.0000
C 3.9405 0.0000 0.0000
C 5.2994 0.0000 0.0000
C 3.9405 -5.3486 1.6638
```

***

U5Re3C8 | meta-GGA SCAN | PBEsol geometry

space group	No. 127
electronic total energy	-1626.43	eV per cell

```
32
Lattice="11.3108 0.0000 0.0000 0.0000 11.3108 0.0000 0.0000 0.0000 3.1706" Properties=species:S:1:pos:R:3 pbc="T T T"
U 0.0000 5.6554 0.0000
U 0.4680 2.5895 1.5853
U 2.5895 10.8427 1.5853
U 3.0659 5.1873 1.5853
U 5.1873 8.2448 1.5853
U 5.6554 0.0000 0.0000
U 6.1234 3.0659 1.5853
U 8.2448 6.1234 1.5853
U 8.7213 0.4680 1.5853
U 10.8427 8.7213 1.5853
Re 0.0000 0.0000 0.0000
Re 2.3227 7.9781 0.0000
Re 3.3326 2.3227 0.0000
Re 5.6554 5.6554 0.0000
Re 7.9781 8.9880 0.0000
Re 8.9880 3.3326 0.0000
C 1.1128 9.6003 0.0000
C 1.3265 6.9818 1.5853
C 1.7105 1.1128 0.0000
C 1.7350 3.9204 0.0000
C 3.9204 9.5758 0.0000
C 3.9449 6.7682 0.0000
C 4.3289 1.3265 1.5853
C 4.5426 3.9449 0.0000
C 6.7682 7.3659 0.0000
C 6.9818 9.9843 1.5853
C 7.3659 4.5426 0.0000
C 7.3904 1.7350 0.0000
C 9.5758 7.3904 0.0000
C 9.6003 10.1980 0.0000
C 9.9843 4.3289 1.5853
C 10.1980 1.7105 0.0000
```

***

ZnReW2C | meta-GGA SCAN | PBEsol geometry

space group	No. 123
electronic total energy	-216.23	eV per cell

```
5
Lattice="4.4825 0.0000 0.0000 0.0000 4.4825 0.0000 0.0000 0.0000 4.4102" Properties=species:S:1:pos:R:3 pbc="T T T"
Zn 0.0000 0.0000 0.0000
Re 0.0000 0.0000 2.2051
W 0.0000 2.2412 0.0000
W 2.2412 0.0000 0.0000
C 2.2412 2.2412 2.2051
```

***

Y2ReC2 | meta-GGA SCAN | PBEsol geometry

space group	No. 62
electronic total energy	-598.78	eV per cell

```
20
Lattice="6.5241 0.0000 0.0000 0.0000 5.0624 0.0000 0.0000 0.0000 9.7682" Properties=species:S:1:pos:R:3 pbc="T T T"
Y 0.2145 1.2656 2.1064
Y 1.1690 1.2656 5.4304
Y 2.0931 3.7968 0.5463
Y 3.0476 3.7968 6.9905
Y 3.4765 1.2656 2.7777
Y 4.4310 1.2656 9.2219
Y 5.3552 3.7968 4.3378
Y 6.3097 3.7968 7.6618
Re 1.4329 1.2656 8.4635
Re 1.8291 3.7968 3.5794
Re 4.6950 1.2656 6.1888
Re 5.0912 3.7968 1.3047
C 0.3088 3.7968 2.3540
C 1.1482 3.7968 5.3769
C 2.1138 1.2656 0.4928
C 2.9533 1.2656 7.2381
C 3.5708 3.7968 2.5301
C 4.4103 3.7968 9.2754
C 5.3759 1.2656 4.3913
C 6.2153 1.2656 7.4142
```

***

Rh3C4 | meta-GGA SCAN | PBEsol geometry

space group	No. 191
electronic total energy	-135.61	eV per cell

```
7
Lattice="5.6658 0.0000 0.0000 -2.8329 4.9067 0.0000 0.0000 0.0000 2.6315" Properties=species:S:1:pos:R:3 pbc="T T T"
Rh -1.4165 2.4534 0.0000
Rh 2.8329 0.0000 0.0000
Rh 1.4165 2.4534 0.0000
C 0.0000 0.0000 0.6704
C 0.0000 0.0000 1.9610
C 0.0000 3.2712 1.3157
C 2.8329 1.6356 1.3157
```

***

Rh3C | meta-GGA SCAN | PBEsol geometry

space group	No. 44
electronic total energy	-110.24	eV per cell

```
4
Lattice="-1.3597 3.7802 2.3145 1.3597 -3.7802 2.3145 1.3597 3.7802 -2.3145" Properties=species:S:1:pos:R:3 pbc="T T T"
Rh 0.0000 0.0000 0.0000
Rh 1.3597 2.4217 0.0046
Rh 0.0000 1.3584 2.3192
C 0.0000 3.7802 0.7629
```

***

RhC5 | meta-GGA SCAN | PBEsol geometry

space group	No. 191
electronic total energy	-67.30	eV per cell

```
6
Lattice="3.3806 0.0000 0.0000 -1.6903 2.9277 0.0000 0.0000 0.0000 6.4025" Properties=species:S:1:pos:R:3 pbc="T T T"
Rh 0.0000 0.0000 0.0000
C -0.8452 1.4639 3.2013
C 0.0000 1.9518 0.0000
C 1.6903 0.0000 3.2013
C 0.8452 1.4639 3.2013
C 1.6903 0.9759 0.0000
```

***

Rh4C | meta-GGA SCAN | PBEsol geometry

space group	No. 87
electronic total energy	-142.74	eV per cell

```
5
Lattice="-3.3560 3.3560 1.3263 3.3560 -3.3560 1.3263 3.3560 3.3560 -1.3263" Properties=species:S:1:pos:R:3 pbc="T T T"
Rh 4.9596 0.4570 0.0000
Rh 0.4570 1.7525 0.0000
Rh 2.8991 1.6036 1.3263
Rh -1.6036 2.8991 1.3263
C 0.0000 0.0000 1.3263
```

***

| no. | magnetic moment (μB/f.u.) |
| --- | --- |
| 1 | 0.000 |
| 2 | 3.291 |
| 3 | 0.948 |
| 4 | 0.431 |
| 5 | 0.000 |
| 6 | 3.146 |
| 7 | 0.000 |
| 8 | 0.000 |
| 9 | 0.000 |
| 10 | 0.001 |
| 11 | 0.000 |
| 12 | 0.000 |